[1]
DFT (PBE) results for a geometry-optimized TmMgAuS3 structure.

The space group is Cmcm (63). The value obtained for the energy relative to the lowest polymorph listed for this composition is 107 meV/atom. The crystal system is orthorhombic.

Lattice parameters (Å, degrees): 6.5248 6.5248 10.4163 90.00 90.00 33.01
Last column: nearest neighbours and their distance in Å.
Fractional positions:
Tm 0.0000 0.0000 0.0000  6 S 2.70-3.01
S 0.1204 0.1204 0.2500  2 Au 2.59, 2 Mg 2.64
Mg 0.7702 0.7702 0.2500  6 S 2.64-2.86
Mg 0.2298 0.2298 0.7500  6 S 2.64-2.86
S 0.3529 0.3529 0.4338  1 Au 2.46, 2 Tm 2.70
S 0.8796 0.8796 0.7500  2 Au 2.59, 2 Mg 2.64
Au 0.4759 0.4759 0.2500  4 S 2.46-2.59
S 0.6471 0.6471 0.5662  1 Au 2.46, 2 Tm 2.70
Tm 0.0000 0.0000 0.5000  6 S 2.70-3.01
Au 0.5241 0.5241 0.7500  4 S 2.46-2.59
S 0.6471 0.6471 0.9338  1 Au 2.46, 2 Tm 2.70
S 0.3529 0.3529 0.0662  1 Au 2.46, 2 Tm 2.70



[2]
DFT (PBE) results for a geometry-optimized LiNbPO structure.

The space group is Pmc2_1 (26). The value obtained for the energy relative to the lowest polymorph listed for this composition is 44 meV/atom. The crystal system is orthorhombic.

Lattice parameters (Å, degrees): 3.9730 5.4813 5.0797 90.00 90.00 90.00
Last column: nearest neighbours and their distance in Å.
Fractional positions:
Li 0.5000 0.5018 0.6245  2 O 1.95
P 0.0000 0.2747 0.8762  3 Nb 2.46-2.60, 4 Li 2.65-2.67
P 0.0000 0.7253 0.3762  3 Nb 2.46-2.60, 4 Li 2.65-2.67
O 0.5000 0.2293 0.3767  2 Li 1.95, 2 Nb 2.01
Li 0.5000 0.4982 0.1245  2 O 1.95
Nb 0.0000 0.8266 0.8766  2 O 2.01
O 0.5000 0.7707 0.8767  2 Li 1.95, 2 Nb 2.01
Nb 0.0000 0.1734 0.3766  2 O 2.01



[3]
DFT (PBE) results for a geometry-optimized YBeCuBi structure.

The space group is F-43m (216). The value obtained for the energy relative to the lowest polymorph listed for this composition is 162 meV/atom. The crystal system is cubic.

Lattice parameters (Å, degrees): 4.8859 4.8859 4.8859 60.00 60.00 60.00
Last column: nearest neighbours and their distance in Å.
Fractional positions:
Cu 0.2500 0.2500 0.2500  4 Bi 2.99, 4 Be 2.99
Be 0.5000 0.5000 0.5000  4 Y 2.99, 4 Cu 2.99
Y 0.7500 0.7500 0.7500  4 Be 2.99, 4 Bi 2.99
Bi 0.0000 0.0000 0.0000  4 Y 2.99, 4 Cu 2.99



[4]
DFT (PBE) results for a geometry-optimized LaNdBe2Ge2 structure.

The space group is P-3m1 (164). The crystal system is trigonal.

Lattice parameters (Å, degrees): 4.0153 4.0153 8.6687 90.00 90.00 120.00
Last column: nearest neighbours and their distance in Å.
Fractional positions:
Be 0.3333 0.6667 0.7463  3 Ge 2.32
Be 0.6667 0.3333 0.2537  3 Ge 2.32
Ge 0.6667 0.3333 0.7453  3 Be 2.32
Ge 0.3333 0.6667 0.2547  3 Be 2.32
Nd 0.0000 0.0000 0.5000  6 Ge 3.15, 6 Be 3.15
La 0.0000 0.0000 0.0000  6 Be 3.20, 6 Ge 3.20



These records have total DFT energy (no corrections) values of -4.72 -6.92 -4.21 -5.03 eV per atom, in the order they appear.